# 1
The following is a DFT calculation (GGA-PBE) of a relaxed structure of BeSiSe2.

```
data_BeSiSe2
_cell_length_a 6.471
_cell_length_b 6.471
_cell_length_c 6.471
_cell_angle_alpha 90.00
_cell_angle_beta 90.00
_cell_angle_gamma 90.00
_symmetry_space_group_name_H-M 'F -4 3 m'
_symmetry_Int_Tables_number 216
_symmetry_space_group_name_Hall 'F -4 2 3'
loop_
_atom_site_label
_atom_site_type_symbol
_atom_site_fract_x
_atom_site_fract_y
_atom_site_fract_z
_atom_site_occupancy
Be1 Be 0.000 0.000 0.000 1
Si1 Si 0.250 0.250 0.750 1
Se1 Se 0.000 0.000 0.500 1
Se2 Se 0.250 0.250 0.250 1
```

Computed properties:
**Uncorrected formation energy**: 0.773 eV per atom
**Electronic total energy**: -3.256 eV per atom
**Excess energy over the best structure of this formula in the dataset**: 1181 meV per atom


# 2
The following is a DFT calculation (GGA-PBE) of a relaxed structure of BeSi2Se.

```
data_BeSi2Se
_cell_length_a 4.476
_cell_length_b 4.476
_cell_length_c 3.086
_cell_angle_alpha 90.00
_cell_angle_beta 90.00
_cell_angle_gamma 90.00
_symmetry_space_group_name_H-M 'P 4/m m m'
_symmetry_Int_Tables_number 123
_symmetry_space_group_name_Hall '-P 4 2'
loop_
_atom_site_label
_atom_site_type_symbol
_atom_site_fract_x
_atom_site_fract_y
_atom_site_fract_z
_atom_site_occupancy
Be1 Be 0.000 0.000 0.000 1
Si1 Si 0.000 0.500 0.500 1
Se1 Se 0.500 0.500 0.000 1
```

Computed properties:
**Uncorrected formation energy**: 0.694 eV per atom
**Electronic total energy**: -3.820 eV per atom
**Excess energy over the best structure of this formula in the dataset**: 917 meV per atom


# 3
The following is a DFT calculation (GGA-PBE) of a relaxed structure of BeSi2Se.

```
data_BeSi2Se
_cell_length_a 6.267
_cell_length_b 6.267
_cell_length_c 6.267
_cell_angle_alpha 90.00
_cell_angle_beta 90.00
_cell_angle_gamma 90.00
_symmetry_space_group_name_H-M 'F m -3 m'
_symmetry_Int_Tables_number 225
_symmetry_space_group_name_Hall '-F 4 2 3'
loop_
_atom_site_label
_atom_site_type_symbol
_atom_site_fract_x
_atom_site_fract_y
_atom_site_fract_z
_atom_site_occupancy
Be1 Be 0.000 0.000 0.000 1
Si1 Si 0.250 0.250 0.250 1
Se1 Se 0.000 0.000 0.500 1
```

Computed properties:
**Uncorrected formation energy**: 0.799 eV per atom
**Electronic total energy**: -3.715 eV per atom
**Excess energy over the best structure of this formula in the dataset**: 1022 meV per atom


# 4
The following is a DFT calculation (GGA-PBE) of a relaxed structure of BeSi2Se.

```
data_BeSi2Se
_cell_length_a 2.551
_cell_length_b 2.551
_cell_length_c 10.750
_cell_angle_alpha 90.00
_cell_angle_beta 90.00
_cell_angle_gamma 90.00
_symmetry_space_group_name_H-M 'P 4/m m m'
_symmetry_Int_Tables_number 123
_symmetry_space_group_name_Hall '-P 4 2'
loop_
_atom_site_label
_atom_site_type_symbol
_atom_site_fract_x
_atom_site_fract_y
_atom_site_fract_z
_atom_site_occupancy
Be1 Be 0.000 0.000 0.000 1
Si1 Si 0.500 0.500 0.166 1
Se1 Se 0.000 0.000 0.500 1
```

Computed properties:
**Uncorrected formation energy**: 0.398 eV per atom
**Electronic total energy**: -4.116 eV per atom
**Excess energy over the best structure of this formula in the dataset**: 620 meV per atom


# 5
The following is a DFT calculation (GGA-PBE) of a relaxed structure of BeSi2Se.

```
data_BeSi2Se
_cell_length_a 3.7738
_cell_length_b 3.7738
_cell_length_c 6.2528
_cell_angle_alpha 90.00
_cell_angle_beta 90.00
_cell_angle_gamma 120.00
_symmetry_space_group_name_H-M 'P 3 m 1'
_symmetry_Int_Tables_number 156
loop_
_symmetry_equiv_pos_as_xyz
'x,y,z'
'-y,x-y,z'
'-x+y,-x,z'
'-y,-x,z'
'-x+y,y,z'
'x,x-y,z'
loop_
_atom_site_label
_atom_site_type_symbol
_atom_site_fract_x
_atom_site_fract_y
_atom_site_fract_z
_atom_site_occupancy
Be1 Be 0.0000 0.0000 0.0000 1
Si1 Si 0.0000 0.0000 0.6378 1
Si2 Si 0.6667 0.3333 0.5080 1
Se1 Se 0.6667 0.3333 0.1196 1
```

Computed properties:
**Uncorrected formation energy**: -0.223 eV per atom
**Electronic total energy**: -4.737 eV per atom
**Excess energy over the best structure of this formula in the dataset**: 0 meV per atom


# 6
The following is a DFT calculation (GGA-PBE) of a relaxed structure of Be2SiSe.

```
data_Be2SiSe
_cell_length_a 2.7162
_cell_length_b 2.7162
_cell_length_c 28.0152
_cell_angle_alpha 90.00
_cell_angle_beta 90.00
_cell_angle_gamma 120.00
_symmetry_space_group_name_H-M 'R 3 m'
_symmetry_Int_Tables_number 160
_symmetry_space_group_name_Hall 'R 3 -2"'
loop_
_atom_site_label
_atom_site_type_symbol
_atom_site_fract_x
_atom_site_fract_y
_atom_site_fract_z
_atom_site_occupancy
Be1 Be 0.0000 0.0000 0.0000 1
Be2 Be 0.0000 0.0000 0.2744 1
Si1 Si 0.0000 0.0000 0.7369 1
Se1 Se 0.0000 0.0000 0.5385 1
```

Computed properties:
**Uncorrected formation energy**: 0.510 eV per atom
**Electronic total energy**: -3.580 eV per atom
**Excess energy over the best structure of this formula in the dataset**: 404 meV per atom


# 7
The following is a DFT calculation (GGA-PBE) of a relaxed structure of Be2SiSe.

```
data_Be2SiSe
_cell_length_a 2.800
_cell_length_b 2.800
_cell_length_c 6.780
_cell_angle_alpha 90.00
_cell_angle_beta 90.00
_cell_angle_gamma 90.00
_symmetry_space_group_name_H-M 'P 4/m m m'
_symmetry_Int_Tables_number 123
_symmetry_space_group_name_Hall '-P 4 2'
loop_
_atom_site_label
_atom_site_type_symbol
_atom_site_fract_x
_atom_site_fract_y
_atom_site_fract_z
_atom_site_occupancy
Be1 Be 0.000 0.000 0.226 1
Si1 Si 0.500 0.500 0.000 1
Se1 Se 0.500 0.500 0.500 1
```

Computed properties:
**Uncorrected formation energy**: 0.580 eV per atom
**Electronic total energy**: -3.510 eV per atom
**Excess energy over the best structure of this formula in the dataset**: 474 meV per atom


# 8
The following is a DFT calculation (GGA-PBE) of a relaxed structure of BeSi2Se.

```
data_BeSi2Se
_cell_length_a 2.6632
_cell_length_b 2.6632
_cell_length_c 32.4099
_cell_angle_alpha 90.00
_cell_angle_beta 90.00
_cell_angle_gamma 120.00
_symmetry_space_group_name_H-M 'R -3 m'
_symmetry_Int_Tables_number 166
_symmetry_space_group_name_Hall '-R 3 2"'
loop_
_atom_site_label
_atom_site_type_symbol
_atom_site_fract_x
_atom_site_fract_y
_atom_site_fract_z
_atom_site_occupancy
Be1 Be 0.0000 0.0000 0.0000 1
Si1 Si 0.0000 0.0000 0.2714 1
Se1 Se 0.0000 0.0000 0.5000 1
```

Computed properties:
**Uncorrected formation energy**: 0.505 eV per atom
**Electronic total energy**: -4.009 eV per atom
**Excess energy over the best structure of this formula in the dataset**: 728 meV per atom


# 9
The following is a DFT calculation (GGA-PBE) of a relaxed structure of Be2SiSe.

```
data_Be2SiSe
_cell_length_a 3.970
_cell_length_b 3.970
_cell_length_c 6.795
_cell_angle_alpha 90.00
_cell_angle_beta 90.00
_cell_angle_gamma 90.00
_symmetry_space_group_name_H-M 'I 4/m m m'
_symmetry_Int_Tables_number 139
_symmetry_space_group_name_Hall '-I 4 2'
loop_
_atom_site_label
_atom_site_type_symbol
_atom_site_fract_x
_atom_site_fract_y
_atom_site_fract_z
_atom_site_occupancy
Be1 Be 0.000 0.500 0.250 1
Si1 Si 0.000 0.000 0.000 1
Se1 Se 0.000 0.000 0.500 1
```

Computed properties:
**Uncorrected formation energy**: 0.660 eV per atom
**Electronic total energy**: -3.430 eV per atom
**Excess energy over the best structure of this formula in the dataset**: 554 meV per atom


# 10
The following is a DFT calculation (GGA-PBE) of a relaxed structure of BeSi2Se.

```
data_BeSi2Se
_cell_length_a 6.237
_cell_length_b 6.237
_cell_length_c 6.237
_cell_angle_alpha 90.00
_cell_angle_beta 90.00
_cell_angle_gamma 90.00
_symmetry_space_group_name_H-M 'F -4 3 m'
_symmetry_Int_Tables_number 216
_symmetry_space_group_name_Hall 'F -4 2 3'
loop_
_atom_site_label
_atom_site_type_symbol
_atom_site_fract_x
_atom_site_fract_y
_atom_site_fract_z
_atom_site_occupancy
Be1 Be 0.000 0.000 0.000 1
Si1 Si 0.000 0.000 0.500 1
Si2 Si 0.250 0.250 0.250 1
Se1 Se 0.250 0.250 0.750 1
```

Computed properties:
**Uncorrected formation energy**: 0.698 eV per atom
**Electronic total energy**: -3.817 eV per atom
**Excess energy over the best structure of this formula in the dataset**: 920 meV per atom


# 11
The following is a DFT calculation (GGA-PBE) of a relaxed structure of BeSi2Se.

```
data_BeSi2Se
_cell_length_a 3.339
_cell_length_b 3.339
_cell_length_c 6.452
_cell_angle_alpha 90.00
_cell_angle_beta 90.00
_cell_angle_gamma 90.00
_symmetry_space_group_name_H-M 'P 4 m m'
_symmetry_Int_Tables_number 99
loop_
_symmetry_equiv_pos_as_xyz
'x,y,z'
'-y,x,z'
'-x,-y,z'
'y,-x,z'
'-x,y,z'
'y,x,z'
'x,-y,z'
'-y,-x,z'
loop_
_atom_site_label
_atom_site_type_symbol
_atom_site_fract_x
_atom_site_fract_y
_atom_site_fract_z
_atom_site_occupancy
Be1 Be 0.000 0.000 0.000 1
Si1 Si 0.000 0.000 0.627 1
Si2 Si 0.500 0.500 0.748 1
Se1 Se 0.500 0.500 0.122 1
```

Computed properties:
**Uncorrected formation energy**: 0.240 eV per atom
**Electronic total energy**: -4.274 eV per atom
**Excess energy over the best structure of this formula in the dataset**: 462 meV per atom


# 12
The following is a DFT calculation (GGA-PBE) of a relaxed structure of Be2SiSe.

```
data_Be2SiSe
_cell_length_a 3.367
_cell_length_b 3.333
_cell_length_c 4.959
_cell_angle_alpha 90.00
_cell_angle_beta 90.09
_cell_angle_gamma 90.00
_symmetry_space_group_name_H-M 'P 1 2/m 1'
_symmetry_Int_Tables_number 10
loop_
_symmetry_equiv_pos_as_xyz
'x,y,z'
'-x,-y,-z'
'-x,y,-z'
'x,-y,z'
loop_
_atom_site_label
_atom_site_type_symbol
_atom_site_fract_x
_atom_site_fract_y
_atom_site_fract_z
_atom_site_occupancy
Be1 Be 0.000 0.000 0.000 1
Be2 Be 0.500 0.500 0.500 1
Si1 Si 0.000 0.000 0.500 1
Se1 Se 0.500 0.500 0.000 1
```

Computed properties:
**Uncorrected formation energy**: 0.278 eV per atom
**Electronic total energy**: -3.812 eV per atom
**Excess energy over the best structure of this formula in the dataset**: 172 meV per atom


Q: Which of these has the highest uncorrected formation energy?
A: number 3


Q: What is the electronic total energy in the seventh record?
A: -3.510 eV per atom